Record 1
# PBE+U PmDyV2O8, optimized geometry
data_PmDyV2O8
_space_group_name_H-M_alt 'P 1'
_space_group_IT_number 1
_space_group_name_Hall 'P 1'
_cell_length_a 6.076
_cell_length_b 6.076
_cell_length_c 6.076
_cell_angle_alpha 106.14
_cell_angle_beta 106.14
_cell_angle_gamma 116.35
loop_
_atom_site_label
_atom_site_type_symbol
_atom_site_fract_x
_atom_site_fract_y
_atom_site_fract_z
Pm1 Pm 0.000 0.000 0.000
Dy1 Dy 0.750 0.250 0.500
V1 V 0.250 0.750 0.500
V2 V 0.500 0.500 0.000
O1 O 0.073 0.393 0.320
O2 O 0.073 0.754 0.680
O3 O 0.143 0.329 0.815
O4 O 0.246 0.927 0.320
O5 O 0.514 0.329 0.185
O6 O 0.607 0.927 0.680
O7 O 0.671 0.486 0.815
O8 O 0.671 0.857 0.185
# - Uncorrected energy: -96.666 eV per cell
# - SG: I-4m2

---

Record 2
# PBE+U PmDyWO6, optimized geometry
data_PmDyWO6
_space_group_name_H-M_alt 'P 1'
_space_group_IT_number 1
_space_group_name_Hall 'P 1'
_cell_length_a 5.577
_cell_length_b 5.577
_cell_length_c 9.756
_cell_angle_alpha 90.00
_cell_angle_beta 90.00
_cell_angle_gamma 120.00
loop_
_atom_site_label
_atom_site_type_symbol
_atom_site_fract_x
_atom_site_fract_y
_atom_site_fract_z
Pm1 Pm 0.000 0.000 0.000
Pm2 Pm 0.000 0.000 0.500
Dy1 Dy 0.333 0.667 0.250
Dy2 Dy 0.667 0.333 0.750
W1 W 0.333 0.667 0.750
W2 W 0.667 0.333 0.250
O1 O 0.041 0.375 0.638
O2 O 0.041 0.666 0.862
O3 O 0.334 0.375 0.862
O4 O 0.334 0.959 0.638
O5 O 0.375 0.041 0.138
O6 O 0.375 0.334 0.362
O7 O 0.625 0.666 0.638
O8 O 0.625 0.959 0.862
O9 O 0.666 0.041 0.362
O10 O 0.666 0.625 0.138
O11 O 0.959 0.334 0.138
O12 O 0.959 0.625 0.362
# - Uncorrected energy: -144.672 eV per cell
# - SG: P-31c